1.
# KRe3Au

KRe3Au after structural relaxation (GGA-PBE, Alexandria).

```
KRe3Au
1.0
-1.9926 2.2773 3.9325
-4.5421 -1.1331 -1.6452
0.1430 -4.2604 2.5396
Re K Au
3 1 1
direct
0.0000 0.5000 0.0000 Re
0.0000 0.0000 0.5000 Re
0.5000 0.0000 0.0000 Re
0.5000 0.5000 0.5000 K
0.0000 0.0000 0.0000 Au
```

Properties
Space group   Pm-3m
ΔE_f   2.94 eV/atom
Distance to the lowest polymorph of the same formula   0.0 meV/atom
Magnetic moment   0.001 μB per formula unit


2.
# K2ReAu

K2ReAu after structural relaxation (GGA-PBE, Alexandria).

```
K2ReAu
1.0
5.3202 0.0000 0.0000
2.6601 4.6074 0.0000
2.6601 1.5358 4.3439
Au K Re
1 2 1
direct
0.5000 0.5000 0.5000 Au
0.0000 0.0000 0.0000 K
0.2500 0.2500 0.2500 K
0.7500 0.7500 0.7500 Re
```

Properties
Space group   F-43m
ΔE_f   1.23 eV/atom
Distance to the lowest polymorph of the same formula   474.7 meV/atom
Magnetic moment   3.750 μB per formula unit


3.
# K2ReAu

K2ReAu after structural relaxation (GGA-PBE, Alexandria).

```
K2ReAu
1.0
-0.1055 2.3446 1.5779
-2.2362 0.9647 -1.4376
-6.8089 -5.1212 7.1546
Au K Re
1 2 1
direct
0.5000 0.5000 0.7500 Au
0.0000 0.0000 0.0001 K
0.0000 0.0000 0.4999 K
0.5000 0.5000 0.2500 Re
```

Properties
Space group   Cmmm
ΔE_f   0.88 eV/atom
Distance to the lowest polymorph of the same formula   123.9 meV/atom
Magnetic moment   0.000 μB per formula unit


4.
# KReAu3

KReAu3 after structural relaxation (GGA-PBE, Alexandria).

```
KReAu3
1.0
-3.3628 2.1869 -3.6465
3.0831 -1.9475 -4.0112
-2.9282 -4.5621 -0.0357
Re K Au
1 1 3
direct
0.5000 0.5000 0.5000 Re
0.0000 0.0000 0.0000 K
0.0000 0.5000 0.0000 Au
0.0000 0.0000 0.5000 Au
0.5000 0.0000 0.0000 Au
```

Properties
Space group   Pm-3m
ΔE_f   2.17 eV/atom
Distance to the lowest polymorph of the same formula   1550.4 meV/atom
Magnetic moment   4.850 μB per formula unit


5.
# KReSnAu2

KReSnAu2 after structural relaxation (GGA-PBE, Alexandria).

```
KReSnAu2
1.0
-3.5018 3.7526 -0.9181
-3.6823 -4.1872 -3.0691
-2.4135 -1.1574 4.4747
Re K Au Sn
1 1 2 1
direct
0.5000 0.5000 0.5000 Re
0.0000 0.5000 0.0000 K
0.0000 0.0000 0.5000 Au
0.5000 0.0000 0.0000 Au
0.0000 0.0000 0.0000 Sn
```

Properties
Space group   P4/mmm
ΔE_f   1.49 eV/atom
Magnetic moment   4.985 μB per formula unit


6.
# KReW2Au

KReW2Au after structural relaxation (GGA-PBE, Alexandria).

```
KReW2Au
1.0
4.9241 0.0000 0.0000
0.0000 4.9241 0.0000
0.0000 0.0000 5.0999
Re K Au W
1 1 1 2
direct
0.5000 0.5000 0.5000 Re
0.0000 0.0000 0.5000 K
0.0000 0.0000 0.0000 Au
0.0000 0.5000 0.0000 W
0.5000 0.0000 0.0000 W
```

Properties
Space group   P4/mmm
ΔE_f   3.07 eV/atom
Magnetic moment   1.552 μB per formula unit


7.
# KRhAu2

KRhAu2 after structural relaxation (GGA-PBE, Alexandria).

```
KRhAu2
1.0
3.3291 0.0112 0.0000
-0.0115 3.3291 0.0000
0.0000 0.0000 7.8557
Au K Rh
2 1 1
direct
0.0000 0.0000 0.9361 Au
0.0000 0.0000 0.5639 Au
0.5000 0.5000 0.2500 K
0.5000 0.5000 0.7500 Rh
```

Properties
Space group   P4/mmm
ΔE_f   0.15 eV/atom
Distance to the lowest polymorph of the same formula   25.2 meV/atom
Magnetic moment   0.484 μB per formula unit


8.
# KRh2Au

KRh2Au after structural relaxation (GGA-PBE, Alexandria).

```
KRh2Au
1.0
-1.0744 -1.6952 2.0046
2.4770 -1.3722 0.1672
2.8816 6.0092 6.6262
Au K Rh
1 1 2
direct
0.5000 0.5000 0.2500 Au
0.5000 0.5000 0.7500 K
0.0000 0.0000 0.0369 Rh
0.0000 0.0000 0.4631 Rh
```

Properties
Space group   P4/mmm
ΔE_f   0.56 eV/atom
Distance to the lowest polymorph of the same formula   307.1 meV/atom
Magnetic moment   1.550 μB per formula unit


9.
# KRh2Au

KRh2Au after structural relaxation (GGA-PBE, Alexandria).

```
KRh2Au
1.0
-0.2064 2.1858 1.5618
-0.1471 -2.6080 3.6305
6.8217 0.2951 0.4884
Au K Rh
1 1 2
direct
0.5000 0.5000 0.2500 Au
0.5000 0.5000 0.7500 K
0.0000 0.0000 0.0689 Rh
0.0000 0.0000 0.4311 Rh
```

Properties
Space group   Pmmm
ΔE_f   0.49 eV/atom
Distance to the lowest polymorph of the same formula   241.1 meV/atom
Magnetic moment   0.962 μB per formula unit


10.
# KRhAu2

KRhAu2 after structural relaxation (GGA-PBE, Alexandria).

```
KRhAu2
1.0
-1.2599 0.7880 2.5323
-2.4317 -1.4622 -0.7549
3.3739 -7.7171 4.0800
Au K Rh
2 1 1
direct
0.0000 0.0000 0.9894 Au
0.5000 0.5000 0.2163 Au
0.0000 0.0000 0.5081 K
0.5000 0.5000 0.7863 Rh
```

Properties
Space group   P4mm
ΔE_f   0.31 eV/atom
Distance to the lowest polymorph of the same formula   193.4 meV/atom
Magnetic moment   0.720 μB per formula unit


11.
# KRhAu4

KRhAu4 after structural relaxation (GGA-PBE, Alexandria).

```
KRhAu4
1.0
0.0000 3.9477 3.9477
3.9477 0.0000 3.9477
3.9477 3.9477 0.0000
K Rh Au
1 1 4
direct
0.7500 0.7500 0.7500 K
0.0000 0.0000 0.0000 Rh
0.8759 0.3747 0.3747 Au
0.3747 0.3747 0.8759 Au
0.3747 0.8759 0.3747 Au
0.3747 0.3747 0.3747 Au
```

Properties
Space group   F-43m
ΔE_f   0.21 eV/atom
Magnetic moment   0.744 μB per formula unit


12.
# KRh2Au

KRh2Au after structural relaxation (GGA-PBE, Alexandria).

```
KRh2Au
1.0
2.9020 0.0000 0.0000
0.0000 2.9020 0.0000
0.0000 0.0000 9.0234
Au K Rh
1 1 2
direct
0.0000 0.0000 0.4562 Au
0.5000 0.5000 0.7578 K
0.0000 0.0000 0.0531 Rh
0.5000 0.5000 0.2329 Rh
```

Properties
Space group   P4mm
ΔE_f   0.29 eV/atom
Distance to the lowest polymorph of the same formula   37.8 meV/atom
Magnetic moment   0.000 μB per formula unit


13.
# KRhAu2

KRhAu2 after structural relaxation (GGA-PBE, Alexandria).

```
KRhAu2
1.0
4.8286 0.0000 0.0000
2.4143 4.1817 0.0000
2.4143 1.3939 3.9425
Au K Rh
2 1 1
direct
0.0000 0.0000 0.0000 Au
0.2500 0.2500 0.2500 Au
0.5000 0.5000 0.5000 K
0.7500 0.7500 0.7500 Rh
```

Properties
Space group   F-43m
ΔE_f   0.46 eV/atom
Distance to the lowest polymorph of the same formula   338.1 meV/atom
Magnetic moment   0.000 μB per formula unit


14.
# KRhAu2

KRhAu2 after structural relaxation (GGA-PBE, Alexandria).

```
KRhAu2
1.0
5.3411 0.0014 0.0000
1.9461 4.9739 0.0000
-3.6436 -2.4876 3.0105
Au K Rh
2 1 1
direct
0.0000 0.0000 0.0000 Au
0.2500 0.7500 0.5000 Au
0.5000 0.5000 0.0000 K
0.7500 0.2500 0.5000 Rh
```

Properties
Space group   I-4m2
ΔE_f   0.42 eV/atom
Distance to the lowest polymorph of the same formula   295.4 meV/atom
Magnetic moment   0.000 μB per formula unit


15.
# KRh2Au

KRh2Au after structural relaxation (GGA-PBE, Alexandria).

```
KRh2Au
1.0
-1.7846 -2.6410 -1.9622
0.4177 -1.8440 2.1021
-6.3649 0.3294 5.3455
Au K Rh
1 1 2
direct
0.0000 0.5577 0.4430 Au
0.5000 0.7457 0.7573 K
0.0000 0.9158 0.0820 Rh
0.5000 0.2808 0.2177 Rh
```

Properties
Space group   Pm
ΔE_f   0.25 eV/atom
Distance to the lowest polymorph of the same formula   0.0 meV/atom
Magnetic moment   0.000 μB per formula unit


16.
# KRh2Au

KRh2Au after structural relaxation (GGA-PBE, Alexandria).

```
KRh2Au
1.0
-1.7966 2.0754 -0.4050
-1.2849 -0.1461 4.9510
3.7452 3.4515 1.0738
Au K Rh
1 1 2
direct
0.5000 0.0000 0.5000 Au
0.0000 0.5000 0.5000 K
0.0000 0.0000 0.0000 Rh
0.5000 0.5000 0.0000 Rh
```

Properties
Space group   Pmmm
ΔE_f   0.58 eV/atom
Distance to the lowest polymorph of the same formula   328.6 meV/atom
Magnetic moment   1.077 μB per formula unit


17.
# KRhAu2

KRhAu2 after structural relaxation (GGA-PBE, Alexandria).

```
KRhAu2
1.0
-5.8450 -7.8222 3.7675
-3.1902 -8.9204 4.4490
-4.5253 -7.0364 6.2893
Au K Rh
2 1 1
direct
0.0033 0.0033 0.0033 Au
0.2569 0.2569 0.2569 Au
0.4971 0.4971 0.4971 K
0.7427 0.7427 0.7427 Rh
```

Properties
Space group   R3m
ΔE_f   0.39 eV/atom
Distance to the lowest polymorph of the same formula   270.1 meV/atom
Magnetic moment   0.764 μB per formula unit


18.
# KRh2Au

KRh2Au after structural relaxation (GGA-PBE, Alexandria).

```
KRh2Au
1.0
-4.4642 -0.5469 -0.4437
-3.2303 -2.9244 -1.1991
-0.9712 -2.6382 6.7172
Au K Rh
1 1 2
direct
0.4864 0.4864 0.5640 Au
0.2500 0.2500 0.2420 K
0.0123 0.0123 0.9031 Rh
0.7513 0.7513 0.7910 Rh
```

Properties
Space group   Cm
ΔE_f   0.32 eV/atom
Distance to the lowest polymorph of the same formula   70.3 meV/atom
Magnetic moment   0.000 μB per formula unit


19.
# KRhAu2

KRhAu2 after structural relaxation (GGA-PBE, Alexandria).

```
KRhAu2
1.0
-3.6060 0.8014 3.1652
-4.2484 1.7885 -1.5547
-3.9568 -2.8294 -0.0532
Rh K Au
1 1 2
direct
0.5000 0.5000 0.5000 Rh
0.0000 0.0000 0.0000 K
0.2500 0.2500 0.2500 Au
0.7500 0.7500 0.7500 Au
```

Properties
Space group   Fm-3m
ΔE_f   0.41 eV/atom
Distance to the lowest polymorph of the same formula   288.0 meV/atom
Magnetic moment   0.000 μB per formula unit


20.
# K3RhAu

K3RhAu after structural relaxation (GGA-PBE, Alexandria).

```
K3RhAu
1.0
-1.3313 5.7274 0.8891
-1.6356 0.5039 -5.6954
-5.5605 -1.5195 1.4624
Rh K Au
1 3 1
direct
0.0000 0.0000 0.0000 Rh
0.0000 0.5000 0.0000 K
0.0000 0.0000 0.5000 K
0.5000 0.0000 0.0000 K
0.5000 0.5000 0.5000 Au
```

Properties
Space group   Pm-3m
ΔE_f   0.46 eV/atom
Distance to the lowest polymorph of the same formula   0.0 meV/atom
Magnetic moment   0.880 μB per formula unit